A plane-wave DFT calculation with PBE-GGA was carried out for crystalline Co2PIr at its relaxed geometry.

Structure (POSCAR):
```
Co2PIr
1.0
-2.0866 1.7241 0.1980
-1.5897 -2.1901 2.3175
2.2805 2.3278 3.7641
Co Ir P
2 1 1
direct
0.0000 0.0000 0.9884 Co
0.0000 0.0000 0.5116 Co
0.5000 0.5000 0.2500 Ir
0.5000 0.5000 0.7500 P
```

Crystal system: orthorhombic
Mass density in g/cm³: 11.8
Formation energy in kJ/mol of formula units: 9


A plane-wave DFT calculation with PBE-GGA was carried out for crystalline CoP3Ir at its relaxed geometry.

Structure (POSCAR):
```
CoP3Ir
1.0
-2.5886 2.4234 -0.0642
-1.4590 -3.7074 -0.8938
-0.2324 -0.1463 5.3766
Co P Ir
1 3 1
direct
0.9270 0.0839 0.7733 Co
0.5023 0.2745 0.9972 P
0.0288 0.5378 0.5690 P
0.7826 0.8473 0.1155 P
0.3752 0.0606 0.3830 Ir
```

Energy above the lowest structure with this stoichiometry in eV/f.u.: 0.000
Crystal system: triclinic
Mass density in g/cm³: 8.0
Formation energy in kJ/mol of formula units: -157


A plane-wave DFT calculation with PBE-GGA was carried out for crystalline Co2PIr at its relaxed geometry.

Structure (POSCAR):
```
Co2PIr
1.0
-2.0781 0.0037 4.0792
-2.4790 -2.4856 2.9385
2.4122 -1.8474 3.1838
Co Ir P
2 1 1
direct
0.9614 0.9614 0.9741 Co
0.7363 0.7363 0.7668 Co
0.5337 0.5337 0.4210 Ir
0.2686 0.2686 0.3381 P
```

Crystal system: monoclinic
Mass density in g/cm³: 11.7
Formation energy in kJ/mol of formula units: -50


A plane-wave DFT calculation with PBE-GGA was carried out for crystalline CoP3Ir at its relaxed geometry.

Structure (POSCAR):
```
CoP3Ir
1.0
-4.1774 -2.5680 -3.4250
-1.9984 -0.5954 2.8837
-0.3207 7.9579 1.4208
Co P Ir
2 6 2
direct
0.7911 0.0000 0.0392 Co
0.7911 0.5000 0.5392 Co
0.8999 0.0000 0.7177 P
0.8999 0.5000 0.2177 P
0.5354 0.0000 0.3839 P
0.5354 0.5000 0.8839 P
0.1507 0.0000 0.0322 P
0.1507 0.5000 0.5322 P
0.4610 0.0000 0.6483 Ir
0.4610 0.5000 0.1483 Ir
```

Energy above the lowest structure with this stoichiometry in eV/f.u.: 0.410
Crystal system: monoclinic
Mass density in g/cm³: 7.6
Formation energy in kJ/mol of formula units: -118


A plane-wave DFT calculation with PBE-GGA was carried out for crystalline CoPIr at its relaxed geometry.

Structure (POSCAR):
```
CoPIr
1.0
3.9629 0.0000 0.0000
1.9815 3.4320 0.0000
1.9815 1.1440 3.2357
Co Ir P
1 1 1
direct
0.5000 0.5000 0.5000 Co
0.7500 0.7500 0.7500 Ir
0.0000 0.0000 0.0000 P
```

Crystal system: cubic
Mass density in g/cm³: 10.6
Formation energy in kJ/mol of formula units: -4


A plane-wave DFT calculation with PBE-GGA was carried out for crystalline Pa2Co4P3Ir at its relaxed geometry.

Structure (POSCAR):
```
Pa2Co4P3Ir
1.0
-2.8051 0.3996 -2.4074
-1.8983 -2.6622 1.7700
-4.2724 7.1447 6.1643
Pa Co P Ir
2 4 3 1
direct
0.5000 0.0000 0.2527 Pa
0.0000 0.5000 0.7473 Pa
0.5000 0.5000 0.0000 Co
0.0000 0.0000 0.0000 Co
0.5000 0.0000 0.6706 Co
0.0000 0.5000 0.3294 Co
0.0000 0.0000 0.5000 P
0.5000 0.0000 0.8810 P
0.0000 0.5000 0.1190 P
0.5000 0.5000 0.5000 Ir
```

Crystal system: tetragonal
Mass density in g/cm³: 11.4
Formation energy in kJ/mol of formula units: -815


A plane-wave DFT calculation with PBE-GGA was carried out for crystalline PaCo2P2Ir at its relaxed geometry.

Structure (POSCAR):
```
PaCo2P2Ir
1.0
3.8432 0.0000 0.0000
-1.9216 3.3283 0.0000
0.0000 0.0000 6.6897
Pa Co P Ir
1 2 2 1
direct
0.0000 0.0000 0.0000 Pa
0.6667 0.3333 0.2707 Co
0.3333 0.6667 0.7293 Co
0.6667 0.3333 0.7069 P
0.3333 0.6667 0.2931 P
0.0000 0.0000 0.5000 Ir
```

Crystal system: trigonal
Mass density in g/cm³: 11.7
Formation energy in kJ/mol of formula units: -411


A plane-wave DFT calculation with PBE-GGA was carried out for crystalline PaCoP2Ir2 at its relaxed geometry.

Structure (POSCAR):
```
PaCoP2Ir2
1.0
-0.2868 -0.7907 -3.7174
3.5752 -1.3208 0.0052
-4.5006 -6.6685 3.7195
Pa Co P Ir
1 1 2 2
direct
0.5000 0.5000 0.0000 Pa
0.0000 0.0000 0.0000 Co
0.6703 0.6703 0.3407 P
0.3297 0.3297 0.6593 P
0.2500 0.7500 0.5000 Ir
0.7500 0.2500 0.5000 Ir
```

Crystal system: tetragonal
Mass density in g/cm³: 10.0
Formation energy in kJ/mol of formula units: -80


A plane-wave DFT calculation with PBE-GGA was carried out for crystalline Pa2Co3P4Ir at its relaxed geometry.

Structure (POSCAR):
```
Pa2Co3P4Ir
1.0
4.0263 0.0000 0.0000
0.0000 4.0263 0.0000
0.0000 0.0000 9.0407
Pa Co P Ir
2 3 4 1
direct
0.5000 0.0000 0.2408 Pa
0.0000 0.5000 0.7592 Pa
0.0000 0.0000 0.5000 Co
0.5000 0.0000 0.8915 Co
0.0000 0.5000 0.1085 Co
0.5000 0.5000 0.0000 P
0.0000 0.0000 0.0000 P
0.5000 0.0000 0.6443 P
0.0000 0.5000 0.3557 P
0.5000 0.5000 0.5000 Ir
```

Crystal system: tetragonal
Mass density in g/cm³: 10.8
Formation energy in kJ/mol of formula units: -950


A plane-wave DFT calculation with PBE-GGA was carried out for crystalline CoPIr2Pd at its relaxed geometry.

Structure (POSCAR):
```
CoPIr2Pd
1.0
-2.9951 2.9567 1.7811
-2.4457 -3.0387 0.9317
2.0365 -0.3904 4.0725
P Ir Co Pd
1 2 1 1
direct
0.0000 0.5000 0.0000 P
0.0000 0.0000 0.5000 Ir
0.5000 0.0000 0.0000 Ir
0.0000 0.0000 0.0000 Co
0.5000 0.5000 0.5000 Pd
```

Crystal system: tetragonal
Mass density in g/cm³: 11.5
Formation energy in kJ/mol of formula units: 528


A plane-wave DFT calculation with PBE-GGA was carried out for crystalline Pm2Co3P4Ir at its relaxed geometry.

Structure (POSCAR):
```
Pm2Co3P4Ir
1.0
3.9998 0.0000 0.0000
0.0000 3.9998 0.0000
0.0000 0.0000 9.3042
Pm Co P Ir
2 3 4 1
direct
0.5000 0.0000 0.2380 Pm
0.0000 0.5000 0.7620 Pm
0.0000 0.0000 0.5000 Co
0.5000 0.0000 0.8905 Co
0.0000 0.5000 0.1095 Co
0.5000 0.5000 0.0000 P
0.0000 0.0000 0.0000 P
0.5000 0.0000 0.6442 P
0.0000 0.5000 0.3558 P
0.5000 0.5000 0.5000 Ir
```

Crystal system: tetragonal
Mass density in g/cm³: 8.7
Formation energy in kJ/mol of formula units: -966


A plane-wave DFT calculation with PBE-GGA was carried out for crystalline Pr2CoP3Ir4 at its relaxed geometry.

Structure (POSCAR):
```
Pr2CoP3Ir4
1.0
-0.5539 -3.7028 -1.7630
-1.1602 -1.5649 3.6511
-9.3747 2.3427 -1.9748
Pr Co P Ir
2 1 3 4
direct
0.5000 0.0000 0.2560 Pr
0.0000 0.5000 0.7440 Pr
0.5000 0.5000 0.5000 Co
0.0000 0.0000 0.5000 P
0.5000 0.0000 0.8616 P
0.0000 0.5000 0.1384 P
0.5000 0.5000 0.0000 Ir
0.0000 0.0000 0.0000 Ir
0.5000 0.0000 0.6243 Ir
0.0000 0.5000 0.3757 Ir
```

Crystal system: tetragonal
Mass density in g/cm³: 11.8
Formation energy in kJ/mol of formula units: -808


A plane-wave DFT calculation with PBE-GGA was carried out for crystalline CoPIr2S at its relaxed geometry.

Structure (POSCAR):
```
CoPIr2S
1.0
-1.1461 3.3365 2.6020
-3.5620 -2.2697 1.3415
2.3426 -1.7445 3.2688
P S Ir Co
1 1 2 1
direct
0.0000 0.5000 0.0000 P
0.0000 0.0000 0.0000 S
0.0000 0.0000 0.5000 Ir
0.5000 0.0000 0.0000 Ir
0.5000 0.5000 0.5000 Co
```

Crystal system: tetragonal
Mass density in g/cm³: 9.9
Formation energy (no corrections) in meV/atom: 1258.6


A plane-wave DFT calculation with PBE-GGA was carried out for crystalline CoPIrSe2 at its relaxed geometry.

Structure (POSCAR):
```
CoPIrSe2
1.0
-0.1315 2.5890 4.0787
-4.0285 -2.0276 1.1572
2.4196 -3.4963 2.2973
P Ir Co Se
1 1 1 2
direct
0.5000 0.5000 0.5000 P
0.0000 0.0000 0.0000 Ir
0.0000 0.5000 0.0000 Co
0.0000 0.0000 0.5000 Se
0.5000 0.0000 0.0000 Se
```

Crystal system: tetragonal
Mass density in g/cm³: 6.7
Formation energy (no corrections) in meV/atom: 1098.0


A plane-wave DFT calculation with PBE-GGA was carried out for crystalline Sm2Co3P4Ir at its relaxed geometry.

Structure (POSCAR):
```
Sm2Co3P4Ir
1.0
-1.1602 -0.0246 -3.8169
-2.6619 -2.8539 0.8275
-6.3655 6.4863 1.8931
Sm Co P Ir
2 3 4 1
direct
0.5000 0.0000 0.2380 Sm
0.0000 0.5000 0.7620 Sm
0.0000 0.0000 0.5000 Co
0.5000 0.0000 0.8901 Co
0.0000 0.5000 0.1099 Co
0.5000 0.5000 0.0000 P
0.0000 0.0000 0.0000 P
0.5000 0.0000 0.6447 P
0.0000 0.5000 0.3553 P
0.5000 0.5000 0.5000 Ir
```

Crystal system: tetragonal
Mass density in g/cm³: 8.9
Formation energy in kJ/mol of formula units: -971


A plane-wave DFT calculation with PBE-GGA was carried out for crystalline Sm2CoP3Ir4 at its relaxed geometry.

Structure (POSCAR):
```
Sm2CoP3Ir4
1.0
-1.7341 -3.7024 0.3072
3.4117 -1.4528 1.7490
-3.5244 2.3856 8.8569
Sm Co P Ir
2 1 3 4
direct
0.5000 0.0000 0.2556 Sm
0.0000 0.5000 0.7444 Sm
0.5000 0.5000 0.5000 Co
0.0000 0.0000 0.5000 P
0.5000 0.0000 0.8611 P
0.0000 0.5000 0.1389 P
0.5000 0.5000 0.0000 Ir
0.0000 0.0000 0.0000 Ir
0.5000 0.0000 0.6262 Ir
0.0000 0.5000 0.3738 Ir
```

Crystal system: tetragonal
Mass density in g/cm³: 12.3
Formation energy in kJ/mol of formula units: -838


A plane-wave DFT calculation with PBE-GGA was carried out for crystalline Sm2CoP4Ir3 at its relaxed geometry.

Structure (POSCAR):
```
Sm2CoP4Ir3
1.0
4.1573 0.0000 0.0000
0.0000 4.1573 0.0000
0.0000 0.0000 9.4383
Sm Co P Ir
2 1 4 3
direct
0.5000 0.0000 0.2457 Sm
0.0000 0.5000 0.7543 Sm
0.5000 0.5000 0.5000 Co
0.5000 0.5000 0.0000 P
0.0000 0.0000 0.0000 P
0.5000 0.0000 0.6307 P
0.0000 0.5000 0.3693 P
0.0000 0.0000 0.5000 Ir
0.5000 0.0000 0.8843 Ir
0.0000 0.5000 0.1157 Ir
```

Crystal system: tetragonal
Mass density in g/cm³: 10.8
Formation energy in kJ/mol of formula units: -935


A plane-wave DFT calculation with PBE-GGA was carried out for crystalline Tb2CoP3Ir4 at its relaxed geometry.

Structure (POSCAR):
```
Tb2CoP3Ir4
1.0
4.0667 0.0000 0.0000
0.0000 4.0667 0.0000
0.0000 0.0000 9.8128
Tb Co P Ir
2 1 3 4
direct
0.5000 0.0000 0.2552 Tb
0.0000 0.5000 0.7448 Tb
0.5000 0.5000 0.5000 Co
0.0000 0.0000 0.5000 P
0.5000 0.0000 0.8608 P
0.0000 0.5000 0.1392 P
0.5000 0.5000 0.0000 Ir
0.0000 0.0000 0.0000 Ir
0.5000 0.0000 0.6281 Ir
0.0000 0.5000 0.3719 Ir
```

Crystal system: tetragonal
Mass density in g/cm³: 12.7
Formation energy in kJ/mol of formula units: -849


A plane-wave DFT calculation with PBE-GGA was carried out for crystalline Co2TcPIr at its relaxed geometry.

Structure (POSCAR):
```
Co2TcPIr
1.0
4.6489 0.0000 0.0000
0.0000 4.3125 0.0000
0.0000 0.0000 4.6489
P Ir Co Tc
1 1 2 1
direct
0.0000 0.5000 0.0000 P
0.0000 0.0000 0.0000 Ir
0.0000 0.0000 0.5000 Co
0.5000 0.0000 0.0000 Co
0.5000 0.5000 0.5000 Tc
```

Crystal system: tetragonal
Mass density in g/cm³: 7.8
Formation energy in kJ/mol of formula units: 639


A plane-wave DFT calculation with PBE-GGA was carried out for crystalline ThCoP2Ir2 at its relaxed geometry.

Structure (POSCAR):
```
ThCoP2Ir2
1.0
3.8679 0.0000 0.0000
0.0000 3.8679 0.0000
-1.9339 -1.9339 8.6581
Th Co P Ir
1 1 2 2
direct
0.5000 0.5000 0.0000 Th
0.0000 0.0000 0.0000 Co
0.6739 0.6739 0.3479 P
0.3261 0.3261 0.6521 P
0.2500 0.7500 0.5000 Ir
0.7500 0.2500 0.5000 Ir
```

Crystal system: tetragonal
Mass density in g/cm³: 9.5
Formation energy in kJ/mol of formula units: -99


A plane-wave DFT calculation with PBE-GGA was carried out for crystalline Th2CoP3Ir4 at its relaxed geometry.

Structure (POSCAR):
```
Th2CoP3Ir4
1.0
-2.5072 3.2606 -0.1372
-3.2606 -2.4955 0.2781
0.3325 0.6742 9.9495
Th Co P Ir
2 1 3 4
direct
0.5000 0.0000 0.2530 Th
0.0000 0.5000 0.7470 Th
0.5000 0.5000 0.5000 Co
0.0000 0.0000 0.5000 P
0.5000 0.0000 0.8617 P
0.0000 0.5000 0.1383 P
0.5000 0.5000 0.0000 Ir
0.0000 0.0000 0.0000 Ir
0.5000 0.0000 0.6275 Ir
0.0000 0.5000 0.3725 Ir
```

Crystal system: tetragonal
Mass density in g/cm³: 13.6
Formation energy in kJ/mol of formula units: -860


A plane-wave DFT calculation with PBE-GGA was carried out for crystalline Th2Co3P4Ir at its relaxed geometry.

Structure (POSCAR):
```
Th2Co3P4Ir
1.0
-0.6104 -2.5922 3.0695
-2.1034 -2.4391 -2.4780
7.8063 -4.4721 -2.2243
Th Co P Ir
2 3 4 1
direct
0.5000 0.0000 0.2418 Th
0.0000 0.5000 0.7582 Th
0.0000 0.0000 0.5000 Co
0.5000 0.0000 0.8914 Co
0.0000 0.5000 0.1086 Co
0.5000 0.5000 0.0000 P
0.0000 0.0000 0.0000 P
0.5000 0.0000 0.6415 P
0.0000 0.5000 0.3585 P
0.5000 0.5000 0.5000 Ir
```

Crystal system: tetragonal
Mass density in g/cm³: 10.4
Formation energy in kJ/mol of formula units: -1022


A plane-wave DFT calculation with PBE-GGA was carried out for crystalline U2Co3P4Ir at its relaxed geometry.

Structure (POSCAR):
```
U2Co3P4Ir
1.0
3.9693 0.0000 0.0000
0.0000 3.9693 0.0000
0.0000 0.0000 9.1291
U Co P Ir
2 3 4 1
direct
0.5000 0.0000 0.2388 U
0.0000 0.5000 0.7612 U
0.0000 0.0000 0.5000 Co
0.5000 0.0000 0.8896 Co
0.0000 0.5000 0.1104 Co
0.5000 0.5000 0.0000 P
0.0000 0.0000 0.0000 P
0.5000 0.0000 0.6454 P
0.0000 0.5000 0.3546 P
0.5000 0.5000 0.5000 Ir
```

Crystal system: tetragonal
Mass density in g/cm³: 11.2
Formation energy in kJ/mol of formula units: -786


A plane-wave DFT calculation with PBE-GGA was carried out for crystalline U2CoP4Ir3 at its relaxed geometry.

Structure (POSCAR):
```
U2CoP4Ir3
1.0
-0.8596 1.3943 3.7734
-3.9202 0.5751 -1.1056
-2.0632 -8.7515 2.7637
U Co P Ir
2 1 4 3
direct
0.5000 0.0000 0.2482 U
0.0000 0.5000 0.7518 U
0.5000 0.5000 0.5000 Co
0.5000 0.5000 0.0000 P
0.0000 0.0000 0.0000 P
0.5000 0.0000 0.6313 P
0.0000 0.5000 0.3687 P
0.0000 0.0000 0.5000 Ir
0.5000 0.0000 0.8817 Ir
0.0000 0.5000 0.1183 Ir
```

Crystal system: tetragonal
Mass density in g/cm³: 12.9
Formation energy in kJ/mol of formula units: -703


A plane-wave DFT calculation with PBE-GGA was carried out for crystalline Y2Co3P4Ir at its relaxed geometry.

Structure (POSCAR):
```
Y2Co3P4Ir
1.0
-2.9036 0.4028 -2.6526
-1.2350 -3.6706 0.7945
-5.5495 3.2901 6.5743
Y Co P Ir
2 3 4 1
direct
0.5000 0.0000 0.2376 Y
0.0000 0.5000 0.7624 Y
0.0000 0.0000 0.5000 Co
0.5000 0.0000 0.8890 Co
0.0000 0.5000 0.1110 Co
0.5000 0.5000 0.0000 P
0.0000 0.0000 0.0000 P
0.5000 0.0000 0.6464 P
0.0000 0.5000 0.3536 P
0.5000 0.5000 0.5000 Ir
```

Crystal system: tetragonal
Mass density in g/cm³: 7.7
Formation energy in kJ/mol of formula units: -981